Record 1
# TlPd15, optimized geometry, DFT GGA-PBE
data_TlPd15
_chemical_formula_sum 'Tl2 Pd30'
_space_group_name_H-M_alt 'P 1 2/c 1'
_space_group_IT_number 13
_cell_length_a 4.7601
_cell_length_b 33.8154
_cell_length_c 4.7593
_cell_angle_alpha 90.00
_cell_angle_beta 108.66
_cell_angle_gamma 90.00
loop_
_space_group_symop_operation_xyz
'x,y,z'
'-x,-y,-z'
'-x,y,-z+1/2'
'x,-y,z+1/2'
loop_
_atom_site_label
_atom_site_type_symbol
_atom_site_fract_x
_atom_site_fract_y
_atom_site_fract_z
_atom_site_occupancy
Tl1 Tl 0.0000 0.1788 0.2500 1
Pd1 Pd 0.0000 0.2277 0.7500 1
Pd2 Pd 0.0000 0.2707 0.2500 1
Pd3 Pd 0.0000 0.3125 0.7500 1
Pd4 Pd 0.0000 0.3546 0.2500 1
Pd5 Pd 0.0000 0.3960 0.7500 1
Pd6 Pd 0.0000 0.4377 0.2500 1
Pd7 Pd 0.0000 0.4792 0.7500 1
Pd8 Pd 0.5000 0.1872 0.7500 1
Pd9 Pd 0.5000 0.2277 0.2500 1
Pd10 Pd 0.5000 0.2707 0.7500 1
Pd11 Pd 0.5000 0.3125 0.2500 1
Pd12 Pd 0.5000 0.3544 0.7500 1
Pd13 Pd 0.5000 0.3960 0.2500 1
Pd14 Pd 0.5000 0.4376 0.7500 1
Pd15 Pd 0.5000 0.4793 0.2500 1
# total energy	-4.97	eV per atom
# energy above the most stable polymorph in this dataset	31	meV/atom

=====

Record 2
# LiFe2Pb, optimized geometry, DFT GGA-PBE
data_LiFe2Pb
_chemical_formula_sum 'Li4 Fe8 Pb4'
_space_group_name_H-M_alt 'P m -3 m'
_space_group_IT_number 221
_space_group_name_Hall '-P 4 2 3'
_cell_length_a 6.3156
_cell_length_b 6.3156
_cell_length_c 6.3156
_cell_angle_alpha 90.00
_cell_angle_beta 90.00
_cell_angle_gamma 90.00
loop_
_atom_site_label
_atom_site_type_symbol
_atom_site_fract_x
_atom_site_fract_y
_atom_site_fract_z
_atom_site_occupancy
Li1 Li 0.0000 0.0000 0.0000 1
Li2 Li 0.0000 0.0000 0.5000 1
Fe1 Fe 0.2072 0.2072 0.2072 1
Pb1 Pb 0.0000 0.5000 0.5000 1
Pb2 Pb 0.5000 0.5000 0.5000 1
# total energy	-5.11	eV per atom

=====

Record 3
# SmDy, optimized geometry, DFT GGA-PBE
data_SmDy
_chemical_formula_sum 'Sm4 Dy4'
_space_group_name_H-M_alt 'F -4 3 m'
_space_group_IT_number 216
_space_group_name_Hall 'F -4 2 3'
_cell_length_a 7.0053
_cell_length_b 7.0053
_cell_length_c 7.0053
_cell_angle_alpha 90.00
_cell_angle_beta 90.00
_cell_angle_gamma 90.00
loop_
_atom_site_label
_atom_site_type_symbol
_atom_site_fract_x
_atom_site_fract_y
_atom_site_fract_z
_atom_site_occupancy
Sm1 Sm 0.0000 0.0000 0.0000 1
Dy1 Dy 0.2500 0.2500 0.2500 1
# total energy	-2.84	eV per atom
# energy of formation	3.63	eV/f.u.
# energy above the most stable polymorph in this dataset	1795	meV/atom

=====

Record 4
# SrAu3N, optimized geometry, DFT GGA-PBE
data_SrAu3N
_chemical_formula_sum 'Sr1 Au3 N1'
_space_group_name_H-M_alt 'P m -3 m'
_space_group_IT_number 221
_space_group_name_Hall '-P 4 2 3'
_cell_length_a 4.6458
_cell_length_b 4.6458
_cell_length_c 4.6458
_cell_angle_alpha 90.00
_cell_angle_beta 90.00
_cell_angle_gamma 90.00
loop_
_atom_site_label
_atom_site_type_symbol
_atom_site_fract_x
_atom_site_fract_y
_atom_site_fract_z
_atom_site_occupancy
Sr1 Sr 0.0000 0.0000 0.0000 1
Au1 Au 0.0000 0.5000 0.5000 1
N1 N 0.5000 0.5000 0.5000 1
# total energy	-3.73	eV per atom

=====

Record 5
# Y2LuAl7Cu2, optimized geometry, DFT GGA-PBE
data_Y2LuAl7Cu2
_chemical_formula_sum 'Y6 Lu3 Al21 Cu6'
_space_group_name_H-M_alt 'R -3 m'
_space_group_IT_number 166
_space_group_name_Hall '-R 3 2"'
_cell_length_a 5.4687
_cell_length_b 5.4687
_cell_length_c 25.3386
_cell_angle_alpha 90.00
_cell_angle_beta 90.00
_cell_angle_gamma 120.00
loop_
_atom_site_label
_atom_site_type_symbol
_atom_site_fract_x
_atom_site_fract_y
_atom_site_fract_z
_atom_site_occupancy
Y1 Y 0.0000 0.0000 0.1417 1
Lu1 Lu 0.0000 0.0000 0.0000 1
Al1 Al 0.0000 0.0000 0.5000 1
Al2 Al 0.0060 0.5030 0.9217 1
Cu1 Cu 0.0000 0.0000 0.3352 1
# total energy	-4.73	eV per atom

=====

Record 6
# MgScIrPd, optimized geometry, DFT GGA-PBE
data_MgScIrPd
_chemical_formula_sum 'Mg1 Sc1 Ir1 Pd1'
_space_group_name_H-M_alt 'P 4 m m'
_space_group_IT_number 99
_cell_length_a 3.2429
_cell_length_b 3.2429
_cell_length_c 6.2783
_cell_angle_alpha 90.00
_cell_angle_beta 90.00
_cell_angle_gamma 90.00
loop_
_space_group_symop_operation_xyz
'x,y,z'
'-y,x,z'
'-x,-y,z'
'y,-x,z'
'-x,y,z'
'y,x,z'
'x,-y,z'
'-y,-x,z'
loop_
_atom_site_label
_atom_site_type_symbol
_atom_site_fract_x
_atom_site_fract_y
_atom_site_fract_z
_atom_site_occupancy
Mg1 Mg 0.0000 0.0000 0.0000 1
Sc1 Sc 0.0000 0.0000 0.4857 1
Ir1 Ir 0.5000 0.5000 0.2465 1
Pd1 Pd 0.5000 0.5000 0.7527 1
# total energy	-6.30	eV per atom

=====

Record 7
# KPmPt, optimized geometry, DFT GGA-PBE
data_KPmPt
_chemical_formula_sum 'K4 Pm4 Pt4'
_space_group_name_H-M_alt 'F -4 3 m'
_space_group_IT_number 216
_space_group_name_Hall 'F -4 2 3'
_cell_length_a 7.1554
_cell_length_b 7.1554
_cell_length_c 7.1554
_cell_angle_alpha 90.00
_cell_angle_beta 90.00
_cell_angle_gamma 90.00
loop_
_atom_site_label
_atom_site_type_symbol
_atom_site_fract_x
_atom_site_fract_y
_atom_site_fract_z
_atom_site_occupancy
K1 K 0.0000 0.0000 0.0000 1
Pm1 Pm 0.0000 0.0000 0.5000 1
Pt1 Pt 0.2500 0.2500 0.2500 1
# total energy	-4.18	eV per atom
# energy above the most stable polymorph in this dataset	0	meV/atom

=====

Record 8
# LiZr2Os, optimized geometry, DFT GGA-PBE
data_LiZr2Os
_chemical_formula_sum 'Li2 Zr4 Os2'
_space_group_name_H-M_alt 'P 63/m m c'
_space_group_IT_number 194
_space_group_name_Hall '-P 6c 2c'
_cell_length_a 4.2259
_cell_length_b 4.2259
_cell_length_c 11.4132
_cell_angle_alpha 90.00
_cell_angle_beta 90.00
_cell_angle_gamma 120.00
loop_
_atom_site_label
_atom_site_type_symbol
_atom_site_fract_x
_atom_site_fract_y
_atom_site_fract_z
_atom_site_occupancy
Li1 Li 0.3333 0.6667 0.2500 1
Zr1 Zr 0.3333 0.6667 0.5939 1
Os1 Os 0.0000 0.0000 0.0000 1
# total energy	-7.36	eV per atom
# energy above the most stable polymorph in this dataset	515	meV/atom

=====

Record 9
# In2CuSeS3, optimized geometry, DFT GGA-PBE
data_In2CuSeS3
_chemical_formula_sum 'In2 Cu1 Se1 S3'
_space_group_name_H-M_alt 'P 1'
_space_group_IT_number 1
_cell_length_a 5.5058
_cell_length_b 5.5211
_cell_length_c 6.7919
_cell_angle_alpha 113.15
_cell_angle_beta 112.45
_cell_angle_gamma 90.49
loop_
_space_group_symop_operation_xyz
'x,y,z'
loop_
_atom_site_label
_atom_site_type_symbol
_atom_site_fract_x
_atom_site_fract_y
_atom_site_fract_z
_atom_site_occupancy
In1 In 0.0000 0.0000 0.0000 1
In2 In 0.2396 0.7425 0.4921 1
Cu1 Cu 0.4925 0.5122 0.0046 1
Se1 Se 0.6259 0.1649 0.7301 1
S1 S 0.1212 0.5914 0.7514 1
S2 S 0.4020 0.3686 0.2486 1
S3 S 0.8378 0.8715 0.2502 1
# total energy	-3.97	eV per atom

=====

Record 10
# NdDySi2W2C, optimized geometry, DFT GGA-PBE
data_NdDySi2W2C
_chemical_formula_sum 'Nd2 Dy2 Si4 W4 C2'
_space_group_name_H-M_alt 'C 1 m 1'
_space_group_IT_number 8
_cell_length_a 11.1405
_cell_length_b 3.8952
_cell_length_c 7.2232
_cell_angle_alpha 90.00
_cell_angle_beta 125.49
_cell_angle_gamma 90.00
loop_
_space_group_symop_operation_xyz
'x,y,z'
'x,-y,z'
'x+1/2,y+1/2,z'
'x+1/2,-y+1/2,z'
loop_
_atom_site_label
_atom_site_type_symbol
_atom_site_fract_x
_atom_site_fract_y
_atom_site_fract_z
_atom_site_occupancy
Nd1 Nd 0.0000 0.0000 0.0000 1
Dy1 Dy 0.3492 0.5000 0.4026 1
Si1 Si 0.0564 0.5000 0.3664 1
Si2 Si 0.2902 0.0000 0.0336 1
W1 W 0.1298 0.5000 0.7790 1
W2 W 0.2153 0.0000 0.6156 1
C1 C 0.4206 0.0000 0.6898 1
# total energy	-8.42	eV per atom

=====

Record 11
# ZrZnPdAu, optimized geometry, DFT GGA-PBE
data_ZrZnPdAu
_chemical_formula_sum 'Zr4 Zn4 Pd4 Au4'
_space_group_name_H-M_alt 'F -4 3 m'
_space_group_IT_number 216
_space_group_name_Hall 'F -4 2 3'
_cell_length_a 6.5121
_cell_length_b 6.5121
_cell_length_c 6.5121
_cell_angle_alpha 90.00
_cell_angle_beta 90.00
_cell_angle_gamma 90.00
loop_
_atom_site_label
_atom_site_type_symbol
_atom_site_fract_x
_atom_site_fract_y
_atom_site_fract_z
_atom_site_occupancy
Zr1 Zr 0.0000 0.0000 0.0000 1
Zn1 Zn 0.2500 0.2500 0.7500 1
Pd1 Pd 0.2500 0.2500 0.2500 1
Au1 Au 0.0000 0.0000 0.5000 1
# total energy	-5.01	eV per atom
# energy of formation	-1.79	eV/f.u.
# energy above the most stable polymorph in this dataset	96	meV/atom

=====

Record 12
# TbGePt, optimized geometry, DFT GGA-PBE
data_TbGePt
_chemical_formula_sum 'Tb4 Ge4 Pt4'
_space_group_name_H-M_alt 'P n m a'
_space_group_IT_number 62
_cell_length_a 7.0807
_cell_length_b 4.3836
_cell_length_c 7.6428
_cell_angle_alpha 90.00
_cell_angle_beta 90.00
_cell_angle_gamma 90.00
loop_
_space_group_symop_operation_xyz
'x,y,z'
'-x,-y,-z'
'-x+1/2,-y,z+1/2'
'x+1/2,y,-z+1/2'
'x+1/2,-y+1/2,-z+1/2'
'-x+1/2,y+1/2,z+1/2'
'-x,y+1/2,-z'
'x,-y+1/2,z'
loop_
_atom_site_label
_atom_site_type_symbol
_atom_site_fract_x
_atom_site_fract_y
_atom_site_fract_z
_atom_site_occupancy
Tb1 Tb 0.0039 0.2500 0.2026 1
Ge1 Ge 0.1875 0.2500 0.5882 1
Pt1 Pt 0.2051 0.7500 0.4151 1
# total energy	-6.24	eV per atom

=====

Record 13
# TbSmTe3Pb, optimized geometry, DFT GGA-PBE
data_TbSmTe3Pb
_chemical_formula_sum 'Tb4 Sm4 Te12 Pb4'
_space_group_name_H-M_alt 'C m c m'
_space_group_IT_number 63
_space_group_name_Hall '-C 2c 2'
_cell_length_a 4.5381
_cell_length_b 15.3896
_cell_length_c 11.8868
_cell_angle_alpha 90.00
_cell_angle_beta 90.00
_cell_angle_gamma 90.00
loop_
_atom_site_label
_atom_site_type_symbol
_atom_site_fract_x
_atom_site_fract_y
_atom_site_fract_z
_atom_site_occupancy
Tb1 Tb 0.0000 0.0235 0.2500 1
Sm1 Sm 0.0000 0.5000 0.0000 1
Te1 Te 0.0000 0.1409 0.0453 1
Te2 Te 0.0000 0.3978 0.2500 1
Pb1 Pb 0.0000 0.3029 0.7500 1
# total energy	-4.64	eV per atom

=====

Record 14
# LaNd2Cu4Si4, optimized geometry, DFT GGA-PBE
data_LaNd2Cu4Si4
_chemical_formula_sum 'La2 Nd4 Cu8 Si8'
_space_group_name_H-M_alt 'I m m m'
_space_group_IT_number 71
_space_group_name_Hall '-I 2 2'
_cell_length_a 4.1711
_cell_length_b 4.1889
_cell_length_c 23.7271
_cell_angle_alpha 90.00
_cell_angle_beta 90.00
_cell_angle_gamma 90.00
loop_
_atom_site_label
_atom_site_type_symbol
_atom_site_fract_x
_atom_site_fract_y
_atom_site_fract_z
_atom_site_occupancy
La1 La 0.0000 0.0000 0.0000 1
Nd1 Nd 0.0000 0.5000 0.3482 1
Cu1 Cu 0.0000 0.0000 0.2497 1
Cu2 Cu 0.0000 0.5000 0.0977 1
Si1 Si 0.0000 0.0000 0.4486 1
Si2 Si 0.0000 0.5000 0.1963 1
# total energy	-5.25	eV per atom

=====

Record 15
# BW, optimized geometry, DFT GGA-PBE
data_BW
_chemical_formula_sum 'B8 W8'
_space_group_name_H-M_alt 'I 41/a m d'
_space_group_IT_number 141
_cell_length_a 3.1427
_cell_length_b 3.1427
_cell_length_c 17.0124
_cell_angle_alpha 90.00
_cell_angle_beta 90.00
_cell_angle_gamma 90.00
loop_
_space_group_symop_operation_xyz
'x,y,z'
'-x,-y,-z'
'-y+1/4,x+3/4,z+1/4'
'y+1/4,-x+3/4,-z+1/4'
'-x+1/2,-y,z+1/2'
'x+1/2,y,-z+1/2'
'y+1/4,-x+1/4,z+3/4'
'-y+1/4,x+1/4,-z+3/4'
'x,-y,-z'
'-x,y,z'
'-y+1/4,-x+1/4,-z+3/4'
'y+1/4,x+1/4,z+3/4'
'-x+1/2,y,-z+1/2'
'x+1/2,-y,z+1/2'
'y+1/4,x+3/4,-z+1/4'
'-y+1/4,-x+3/4,z+1/4'
'x+1/2,y+1/2,z+1/2'
'-x+1/2,-y+1/2,-z+1/2'
'-y+3/4,x+1/4,z+3/4'
'y+3/4,-x+1/4,-z+3/4'
'-x,-y+1/2,z'
'x,y+1/2,-z'
'y+3/4,-x+3/4,z+1/4'
'-y+3/4,x+3/4,-z+1/4'
'x+1/2,-y+1/2,-z+1/2'
'-x+1/2,y+1/2,z+1/2'
'-y+3/4,-x+3/4,-z+1/4'
'y+3/4,x+3/4,z+1/4'
'-x,y+1/2,-z'
'x,-y+1/2,z'
'y+3/4,x+1/4,-z+3/4'
'-y+3/4,-x+1/4,z+3/4'
loop_
_atom_site_label
_atom_site_type_symbol
_atom_site_fract_x
_atom_site_fract_y
_atom_site_fract_z
_atom_site_occupancy
B1 B 0.0000 0.2500 0.0309 1
W1 W 0.0000 0.2500 0.1781 1
# total energy	-10.19	eV per atom
# energy above the most stable polymorph in this dataset	0	meV/atom

=====

Record 16
# PrZn2, optimized geometry, DFT GGA-PBE
data_PrZn2
_chemical_formula_sum 'Pr4 Zn8'
_space_group_name_H-M_alt 'I m m a'
_space_group_IT_number 74
_space_group_name_Hall '-I 2b 2'
_cell_length_a 4.6097
_cell_length_b 7.4331
_cell_length_c 7.6368
_cell_angle_alpha 90.00
_cell_angle_beta 90.00
_cell_angle_gamma 90.00
loop_
_atom_site_label
_atom_site_type_symbol
_atom_site_fract_x
_atom_site_fract_y
_atom_site_fract_z
_atom_site_occupancy
Pr1 Pr 0.0000 0.2500 0.0308 1
Zn1 Zn 0.0000 0.0488 0.6654 1
# total energy	-2.79	eV per atom
# energy of formation	-1.08	eV/f.u.

=====

Record 17
# KNpSc, optimized geometry, DFT GGA-PBE
data_KNpSc
_chemical_formula_sum 'K4 Np4 Sc4'
_space_group_name_H-M_alt 'F -4 3 m'
_space_group_IT_number 216
_space_group_name_Hall 'F -4 2 3'
_cell_length_a 7.6833
_cell_length_b 7.6833
_cell_length_c 7.6833
_cell_angle_alpha 90.00
_cell_angle_beta 90.00
_cell_angle_gamma 90.00
loop_
_atom_site_label
_atom_site_type_symbol
_atom_site_fract_x
_atom_site_fract_y
_atom_site_fract_z
_atom_site_occupancy
K1 K 0.0000 0.0000 0.0000 1
Np1 Np 0.0000 0.0000 0.5000 1
Sc1 Sc 0.2500 0.2500 0.2500 1
# total energy	-5.09	eV per atom
# energy above the most stable polymorph in this dataset	0	meV/atom

=====

Record 18
# FeGe2B, optimized geometry, DFT GGA-PBE
data_FeGe2B
_chemical_formula_sum 'Fe4 Ge8 B4'
_space_group_name_H-M_alt 'F -4 3 m'
_space_group_IT_number 216
_space_group_name_Hall 'F -4 2 3'
_cell_length_a 5.9495
_cell_length_b 5.9495
_cell_length_c 5.9495
_cell_angle_alpha 90.00
_cell_angle_beta 90.00
_cell_angle_gamma 90.00
loop_
_atom_site_label
_atom_site_type_symbol
_atom_site_fract_x
_atom_site_fract_y
_atom_site_fract_z
_atom_site_occupancy
Fe1 Fe 0.0000 0.0000 0.0000 1
Ge1 Ge 0.0000 0.0000 0.5000 1
Ge2 Ge 0.2500 0.2500 0.2500 1
B1 B 0.2500 0.2500 0.7500 1
# total energy	-5.07	eV per atom

=====

Record 19
# ScAl2Cd, optimized geometry, DFT GGA-PBE
data_ScAl2Cd
_chemical_formula_sum 'Sc4 Al8 Cd4'
_space_group_name_H-M_alt 'F -4 3 m'
_space_group_IT_number 216
_space_group_name_Hall 'F -4 2 3'
_cell_length_a 6.7412
_cell_length_b 6.7412
_cell_length_c 6.7412
_cell_angle_alpha 90.00
_cell_angle_beta 90.00
_cell_angle_gamma 90.00
loop_
_atom_site_label
_atom_site_type_symbol
_atom_site_fract_x
_atom_site_fract_y
_atom_site_fract_z
_atom_site_occupancy
Sc1 Sc 0.0000 0.0000 0.0000 1
Al1 Al 0.0000 0.0000 0.5000 1
Al2 Al 0.2500 0.2500 0.7500 1
Cd1 Cd 0.2500 0.2500 0.2500 1
# total energy	-3.74	eV per atom

=====

Record 20
# ErSnTe2AuSe, optimized geometry, DFT GGA-PBE
data_ErSnTe2AuSe
_chemical_formula_sum 'Er4 Sn4 Te8 Au4 Se4'
_space_group_name_H-M_alt 'C m c m'
_space_group_IT_number 63
_space_group_name_Hall '-C 2c 2'
_cell_length_a 4.2344
_cell_length_b 14.7346
_cell_length_c 10.4368
_cell_angle_alpha 90.00
_cell_angle_beta 90.00
_cell_angle_gamma 90.00
loop_
_atom_site_label
_atom_site_type_symbol
_atom_site_fract_x
_atom_site_fract_y
_atom_site_fract_z
_atom_site_occupancy
Er1 Er 0.0000 0.0000 0.0000 1
Sn1 Sn 0.0000 0.2508 0.2500 1
Te1 Te 0.0000 0.3490 0.5533 1
Au1 Au 0.0000 0.4753 0.7500 1
Se1 Se 0.0000 0.0876 0.7500 1
# total energy	-4.30	eV per atom

=====

Record 21
# ZnH8SO8, optimized geometry, DFT GGA-PBE
data_ZnH8SO8
_chemical_formula_sum 'Zn4 H32 S4 O32'
_space_group_name_H-M_alt 'P 1 21/c 1'
_space_group_IT_number 14
_cell_length_a 5.7329
_cell_length_b 13.2619
_cell_length_c 9.5664
_cell_angle_alpha 90.00
_cell_angle_beta 126.40
_cell_angle_gamma 90.00
loop_
_space_group_symop_operation_xyz
'x,y,z'
'-x,-y,-z'
'-x,y+1/2,-z+1/2'
'x,-y+1/2,z+1/2'
loop_
_atom_site_label
_atom_site_type_symbol
_atom_site_fract_x
_atom_site_fract_y
_atom_site_fract_z
_atom_site_occupancy
Zn1 Zn 0.1551 0.1072 0.2236 1
H1 H 0.0386 0.7351 0.7129 1
H2 H 0.1078 0.0872 0.4829 1
H3 H 0.1355 0.5182 0.1738 1
H4 H 0.1377 0.1881 0.7206 1
H5 H 0.3315 0.6861 0.0408 1
H6 H 0.3582 0.5956 0.9396 1
H7 H 0.3693 0.0858 0.0419 1
H8 H 0.4829 0.1867 0.1536 1
S1 S 0.3751 0.6087 0.6770 1
O1 O 0.0209 0.2470 0.7107 1
O2 O 0.0211 0.5809 0.1452 1
O3 O 0.2386 0.5511 0.7450 1
O4 O 0.2696 0.5699 0.5030 1
O5 O 0.3027 0.0931 0.7046 1
O6 O 0.3098 0.1446 0.0760 1
O7 O 0.3112 0.7168 0.6737 1
O8 O 0.4271 0.6211 0.0559 1
# total energy	-5.15	eV per atom